LiAcZr | PBE | optimized geometry

Results
calculated volume = 27.4 A^3/atom
VASP energy = -4.520 eV per atom
ρ = 6.57 g cm⁻³
Fermi-level density of states = 3.50 states/eV/f.u.
crystal system = triclinic
calculated formation energy = 0.3369 eV per atom

The structure in CIF format:
```
data_LiAcZr
_cell_length_a 3.508
_cell_length_b 6.084
_cell_length_c 8.138
_cell_angle_alpha 71.07
_cell_angle_beta 89.99
_cell_angle_gamma 89.79
_space_group_name_H-M_alt 'P -1'
_space_group_IT_number 2
_space_group_name_Hall '-P 1'
loop_
_atom_site_label
_atom_site_fract_x
_atom_site_fract_y
_atom_site_fract_z
Li1 0.249 0.148 0.457
Ac1 0.249 0.799 0.889
Zr1 0.251 0.629 0.338
```